BePdSN2, optimized geometry, DFT PBE-GGA; mass density = 2807 kg/m³; E_tot = -4.352 eV per atom; distance to the lowest polymorph of the same formula = 546 meV per atom; space group = No. 123
1.0
3.663 0.000 0.000
0.000 3.663 0.000
0.000 0.000 7.739
Be Pd S N
1 1 1 2
Direct
0.000 0.000 0.000 Be
0.500 0.500 0.500 Pd
0.500 0.500 0.000 S
0.000 0.500 0.500 N
0.500 0.000 0.500 N